[1]
Below is a geometry-optimized PmNdTm4 structure, with properties calculated at the PBE level.

Geometry as extended XYZ:
```
12
Lattice="4.397 -7.300 0.000 4.397 7.300 0.000 -2.107 0.000 6.078" Properties=species:S:1:pos:R:3 pbc="T T T"
Pm 2.817 7.239 4.558
Pm 3.870 -7.239 1.519
Nd 3.870 1.240 1.519
Nd 2.817 -1.240 4.558
Tm 1.532 4.456 5.896
Tm 1.295 1.971 3.771
Tm 4.101 4.456 3.221
Tm 2.349 -1.971 0.732
Tm 4.339 1.971 5.346
Tm 2.586 -4.456 2.857
Tm 5.392 -1.971 2.307
Tm 5.155 -4.456 0.182
```

crystal system	monoclinic
raw total energy	-4.42	eV/atom

---

[2]
Below is a geometry-optimized Nb14GaW structure, with properties calculated at the PBE level.

Geometry as extended XYZ:
```
16
Lattice="6.593 0.000 0.000 0.000 6.593 0.000 0.000 0.000 6.631" Properties=species:S:1:pos:R:3 pbc="T T T"
Nb 0.000 0.000 0.000
Nb 0.000 3.296 0.000
Nb 0.000 3.296 3.315
Nb 1.625 1.625 1.668
Nb 1.625 1.625 4.963
Nb 1.625 4.967 1.668
Nb 1.625 4.967 4.963
Nb 3.296 0.000 0.000
Nb 3.296 0.000 3.315
Nb 3.296 3.296 0.000
Nb 4.967 1.625 1.668
Nb 4.967 1.625 4.963
Nb 4.967 4.967 1.668
Nb 4.967 4.967 4.963
Ga 3.296 3.296 3.315
W 0.000 0.000 3.315
```

crystal system	tetragonal
raw total energy	-9.86	eV/atom

---

[3]
Below is a geometry-optimized LaZr3Co structure, with properties calculated at the PBE level.

Geometry as extended XYZ:
```
5
Lattice="5.077 0.000 0.000 0.000 5.077 0.000 0.000 0.000 5.077" Properties=species:S:1:pos:R:3 pbc="T T T"
La 0.000 0.000 0.000
Zr 0.000 0.000 2.539
Zr 0.000 2.539 0.000
Zr 2.539 0.000 0.000
Co 2.539 2.539 2.539
```

crystal system	cubic
raw total energy	-5.78	eV/atom

---

[4]
Below is a geometry-optimized RbSrTl2 structure, with properties calculated at the PBE level.

Geometry as extended XYZ:
```
4
Lattice="4.220 0.000 0.000 0.000 4.220 0.000 0.000 0.000 8.835" Properties=species:S:1:pos:R:3 pbc="T T T"
Rb 0.000 0.000 0.000
Sr 0.000 0.000 4.417
Tl 2.110 2.110 2.565
Tl 2.110 2.110 6.270
```

crystal system	tetragonal
raw total energy	-2.04	eV/atom